Density functional theory data (GGA-PBE) for a relaxed Sm6Sn3Ir crystal.

Computed properties:
Its calculated formation energy is -0.577 eV/atom.

a b c (Å): 6.2693 8.8405 12.4054
angles (deg): 90.00 118.13 90.00
Last column: nearest neighbours and their distance in Å.
Space group P2_1/c (No. 14)
One atom of each set of equivalent atoms:
Sm 0.0620 0.1591 0.4416 x4  1 Ir 2.86, 1 Sn 3.17
Sm 0.3378 0.6928 0.4386 x4  1 Ir 2.87, 1 Sn 3.08
Sm 0.3966 0.0470 0.2645 x4  1 Ir 2.71
Sn 0.0000 0.0000 0.0000 x2  6 Sm 3.07-3.17
Sn 0.1643 0.1149 0.7615 x4  7 Sm 3.25-3.62
Ir 0.5000 0.0000 0.5000 x2  6 Sm 2.71-2.87



Density functional theory data (GGA-PBE) for a relaxed BeCrGaNi crystal.

Computed properties:
Its calculated formation energy is -0.111 eV/atom.

a b c (Å): 5.7180 5.7180 5.7180
angles (deg): 90.00 90.00 90.00
Last column: nearest neighbours and their distance in Å.
Space group F-43m (No. 216)
One atom of each set of equivalent atoms:
Be 0.0000 0.0000 0.0000 x4  4 Ni 2.48, 4 Cr 2.48
Cr 0.2500 0.2500 0.7500 x4  4 Be 2.48, 4 Ga 2.48
Ga 0.0000 0.0000 0.5000 x4  4 Cr 2.48, 4 Ni 2.48
Ni 0.2500 0.2500 0.2500 x4  4 Be 2.48, 4 Ga 2.48



Density functional theory data (GGA-PBE) for a relaxed Zr3NbB crystal.

Computed properties:
Its calculated formation energy is 0.082 eV/atom.

a b c (Å): 4.6396 4.6396 4.6396
angles (deg): 90.00 90.00 90.00
Last column: nearest neighbours and their distance in Å.
Space group Pm-3m (No. 221)
One atom of each set of equivalent atoms:
Zr 0.0000 0.0000 0.5000 x3  2 B 2.32
Nb 0.5000 0.5000 0.5000 x1  12 Zr 3.28
B 0.0000 0.0000 0.0000 x1  6 Zr 2.32